Entry 1:
# TaIrOs2 | the Alexandria database | SCAN | single point on PBEsol structure
data_TaIrOs2
_chemical_formula_sum 'Ta2 Ir2 Os4'
_space_group_name_H-M_alt 'I -4 m 2'
_space_group_IT_number 119
_space_group_name_Hall 'I -4 -2'
_cell_length_a 3.879
_cell_length_b 3.879
_cell_length_c 7.833
_cell_angle_alpha 90.00
_cell_angle_beta 90.00
_cell_angle_gamma 90.00
loop_
_atom_site_label
_atom_site_type_symbol
_atom_site_fract_x
_atom_site_fract_y
_atom_site_fract_z
Ta1 Ta 0.000 0.000 0.000
Ir1 Ir 0.000 0.500 0.250
Os1 Os 0.000 0.000 0.500
Os2 Os 0.000 0.500 0.750
# **ΔE_f**: -0.351 eV/atom
# **V**: 117.9 Å³ per cell

=====

Entry 2:
# TaIr2Os | the Alexandria database | SCAN | single point on PBEsol structure
data_TaIr2Os
_chemical_formula_sum 'Ta2 Ir4 Os2'
_space_group_name_H-M_alt 'I -4 m 2'
_space_group_IT_number 119
_space_group_name_Hall 'I -4 -2'
_cell_length_a 3.890
_cell_length_b 3.890
_cell_length_c 7.790
_cell_angle_alpha 90.00
_cell_angle_beta 90.00
_cell_angle_gamma 90.00
loop_
_atom_site_label
_atom_site_type_symbol
_atom_site_fract_x
_atom_site_fract_y
_atom_site_fract_z
Ta1 Ta 0.000 0.000 0.000
Ir1 Ir 0.000 0.000 0.500
Ir2 Ir 0.000 0.500 0.750
Os1 Os 0.000 0.500 0.250
# **ΔE_f**: -0.474 eV/atom
# **V**: 117.9 Å³ per cell

=====

Entry 3:
# TaIr2Os | the Alexandria database | SCAN | single point on PBEsol structure
data_TaIr2Os
_chemical_formula_sum 'Ta2 Ir4 Os2'
_space_group_name_H-M_alt 'C m m m'
_space_group_IT_number 65
_space_group_name_Hall '-C 2 2'
_cell_length_a 5.485
_cell_length_b 7.738
_cell_length_c 2.770
_cell_angle_alpha 90.00
_cell_angle_beta 90.00
_cell_angle_gamma 90.00
loop_
_atom_site_label
_atom_site_type_symbol
_atom_site_fract_x
_atom_site_fract_y
_atom_site_fract_z
Ta1 Ta 0.000 0.000 0.000
Ir1 Ir 0.250 0.250 0.500
Os1 Os 0.000 0.500 0.000
# **ΔE_f**: -0.450 eV/atom
# **V**: 117.6 Å³ per cell

=====

Number 1: relative energy among the computed polymorphs 77 meV/atom, DOS(E_F) 5.578 states/eV/cell. Number 2: relative energy among the computed polymorphs 169 meV/atom, DOS(E_F) 5.140 states/eV/cell. Number 3: relative energy among the computed polymorphs 193 meV/atom, DOS(E_F) 4.329 states/eV/cell.